Below is a geometry-optimized Ac8IrPd2Rh structure, with properties calculated at the PBE level.

a = 7.1208 Å, b = 8.8092 Å, c = 7.2733 Å
α = 90.00°, β = 90.37°, γ = 90.00°
Closest atoms and distances in Å follow each position.
Space group P2/m (No. 10)
Symmetry-distinct sites (fractional):
Ac 0.2289 0.2499 0.3357  1 Ir 2.99, 1 Rh 2.99, 1 Pd 3.12
Ac 0.2534 0.0000 0.8280  1 Ir 2.98, 2 Pd 3.08
Ac 0.2529 0.5000 0.8299  1 Rh 2.99, 2 Pd 3.07
Ir 0.0000 0.0000 0.5000  6 Ac 2.98-2.99
Pd 0.5000 0.2504 0.0000  6 Ac 3.07-3.12
Rh 0.0000 0.5000 0.5000  6 Ac 2.99

Calculated values
Final energy   -5.48 eV/atom
ΔE_f   -12.11 kcal/mol of atoms